This record from the Alexandria database describes a relaxed NdMoAs2 crystal. The functional is PBE.

Summary:
The calculated formation energy comes out at 0.354 eV/atom.

abc: 3.0979 3.0979 30.5209
angles: 90.00 90.00 120.00
Space group R-3m (No. 166, hexagonal axes)
Unique sites:
Nd  0.0000  0.0000  0.0000 x3
Mo  0.0000  0.0000  0.5000 x3
As  0.0000  0.0000  0.4171 x6



This record from the Alexandria database describes a relaxed Ni2MoAs crystal. The functional is PBE.

Summary:
The calculated formation energy comes out at 0.013 eV/atom.

abc: 2.9705 4.1754 8.5006
angles: 90.00 90.00 90.00
Space group Immm (No. 71)
Unique sites:
Ni  0.0000  0.0000  0.2301 x4
Mo  0.0000  0.5000  0.0000 x2
As  0.0000  0.5000  0.5000 x2



This record from the Alexandria database describes a relaxed Ni2MoAs crystal. The functional is PBE.

Summary:
The calculated formation energy comes out at -0.005 eV/atom.

abc: 4.2074 4.2074 5.9330
angles: 90.00 90.00 90.00
Space group I-4m2 (No. 119)
Unique sites:
Ni  0.0000  0.0000  0.0000 x2
Ni  0.0000  0.5000  0.2500 x2
Mo  0.0000  0.0000  0.5000 x2
As  0.0000  0.5000  0.7500 x2